1.
First-principles (PBE) data for a relaxed structure of Li2MnRh, as listed in the Alexandria database.

Summary:
Fermi-level density of states: 0.652 states/eV per atom
E: -0.37430 Ry/atom

a b c (Å): 3.1208 3.1208 6.0609
angles (deg): 90.00 90.00 90.00
Fractional positions:
Li 0.0000 0.0000 0.9822
Li 0.5000 0.5000 0.2457
Rh 0.5000 0.5000 0.7440
Mn 0.0000 0.0000 0.5281


2.
First-principles (PBE) data for a relaxed structure of CaSc2Cu, as listed in the Alexandria database.

Summary:
Fermi-level density of states: 1.233 states/eV per atom
E: -0.34546 Ry/atom

a b c (Å): 3.3608 3.3718 9.1760
angles (deg): 68.44 90.00 90.00
Fractional positions:
Sc 0.5000 0.2896 0.2101
Sc 0.0000 0.0475 0.9525
Cu 0.5000 0.7116 0.7885
Ca 0.0000 0.4513 0.5489